1.
! GGA-PBE BaNa5Cl7, optimized geometry; values from VASP
&SYSTEM
  ibrav = 0, nat = 26, ntyp = 3
/
ATOMIC_SPECIES
Ba 137.33 Ba.upf
Na 22.99 Na.upf
Cl 35.45 Cl.upf
CELL_PARAMETERS angstrom
2.0849 -6.6447 0.0000
2.0849 6.6447 0.0000
0.0000 0.0000 23.8441
ATOMIC_POSITIONS angstrom
Ba 2.0849 3.9543 17.8831
Ba 2.0849 -3.9543 5.9610
Na 0.0000 0.0000 0.0000
Na 0.0000 0.0000 11.9221
Na 2.0849 2.9804 1.6778
Na 2.0849 2.9804 10.2442
Na 2.0849 0.5474 15.2928
Na 2.0849 0.5474 20.4733
Na 2.0849 -0.5474 3.3708
Na 2.0849 -0.5474 8.5513
Na 2.0849 -2.9804 13.5999
Na 2.0849 -2.9804 22.1663
Cl 2.0849 5.4084 14.5551
Cl 2.0849 5.4084 21.2111
Cl 2.0849 4.1948 4.1413
Cl 2.0849 4.1948 7.7808
Cl 2.0849 1.7914 12.7614
Cl 2.0849 1.7914 23.0047
Cl 2.0849 0.4543 5.9610
Cl 2.0849 -0.4543 17.8831
Cl 2.0849 -1.7914 0.8394
Cl 2.0849 -1.7914 11.0827
Cl 2.0849 -4.1948 16.0633
Cl 2.0849 -4.1948 19.7028
Cl 2.0849 -5.4084 2.6330
Cl 2.0849 -5.4084 9.2890
! Raw formation energy = -45.15 kcal/mol of atoms
! Total moment = 0.0 μB/f.u.

2.
! GGA-PBE Y2TaSn2, optimized geometry; values from VASP
&SYSTEM
  ibrav = 0, nat = 10, ntyp = 3
/
ATOMIC_SPECIES
Y 88.91 Y.upf
Ta 180.95 Ta.upf
Sn 118.71 Sn.upf
CELL_PARAMETERS angstrom
7.5835 0.0000 0.0000
0.0000 7.5835 0.0000
0.0000 0.0000 4.3899
ATOMIC_POSITIONS angstrom
Y 1.3012 2.4906 0.0000
Y 2.4906 6.2823 0.0000
Y 5.0929 1.3012 0.0000
Y 6.2823 5.0929 0.0000
Ta 0.0000 0.0000 2.1949
Ta 3.7918 3.7918 2.1949
Sn 1.0523 4.8441 2.1949
Sn 2.7394 1.0523 2.1949
Sn 4.8441 6.5312 2.1949
Sn 6.5312 2.7394 2.1949
! Energy of formation from the pure elements = -342 meV per atom
! Total moment = 0.0 μB/f.u.

3.
! GGA-PBE ZnCd2Cu2Pd5, optimized geometry; values from VASP
&SYSTEM
  ibrav = 0, nat = 20, ntyp = 4
/
ATOMIC_SPECIES
Zn 65.41 Zn.upf
Cd 112.41 Cd.upf
Cu 63.55 Cu.upf
Pd 106.42 Pd.upf
CELL_PARAMETERS angstrom
9.2674 0.0000 0.0000
0.0000 9.2674 0.0000
0.0000 0.0000 3.7781
ATOMIC_POSITIONS angstrom
Zn 0.0000 0.0000 0.0000
Zn 4.6337 4.6337 0.0000
Cd 1.5698 3.0640 0.0000
Cd 3.0640 7.6977 0.0000
Cd 6.2035 1.5698 0.0000
Cd 7.6977 6.2035 0.0000
Cu 1.1851 5.8188 0.0000
Cu 3.4486 1.1851 0.0000
Cu 5.8188 8.0823 0.0000
Cu 8.0823 3.4486 0.0000
Pd 0.0000 4.6337 1.8891
Pd 0.7291 7.4720 1.8891
Pd 1.7955 0.7291 1.8891
Pd 2.8383 5.3628 1.8891
Pd 3.9047 2.8383 1.8891
Pd 4.6337 0.0000 1.8891
Pd 5.3628 6.4292 1.8891
Pd 6.4292 3.9047 1.8891
Pd 7.4720 8.5384 1.8891
Pd 8.5384 1.7955 1.8891
! Energy of formation from the pure elements = -210 meV per atom
! Total moment = 0.0 μB/f.u.

4.
! GGA-PBE AcYCoPt, optimized geometry; values from VASP
&SYSTEM
  ibrav = 0, nat = 4, ntyp = 4
/
ATOMIC_SPECIES
Ac 227.00 Ac.upf
Y 88.91 Y.upf
Co 58.93 Co.upf
Pt 195.08 Pt.upf
CELL_PARAMETERS angstrom
0.0000 3.5821 3.5821
3.5821 0.0000 3.5821
3.5821 3.5821 0.0000
ATOMIC_POSITIONS angstrom
Ac 0.0000 0.0000 0.0000
Y 3.5821 3.5821 3.5821
Co 1.7910 1.7910 1.7910
Pt 5.3731 5.3731 5.3731
! Energy of formation from the pure elements = -447 meV per atom
! Total moment = 0.0 μB/f.u.

Number 1: calculated total energy -93.80 eV/cell, N(E_F) 0.000 states/eV/atom. Number 2: calculated total energy -69.00 eV/cell, N(E_F) 0.953 states/eV/atom. Number 3: calculated total energy -78.71 eV/cell, N(E_F) 0.286 states/eV/atom. Number 4: calculated total energy -25.51 eV/cell, N(E_F) 0.549 states/eV/atom.